Material: LiTlSi
Method: DFT, PBE-GGA
State: relaxed

POSCAR file:
```
LiTlSi
1.0
7.271 0.000 0.000
0.000 3.969 0.000
0.000 0.000 8.462
Tl Si Li
4 4 4
direct
0.049 0.750 0.179
0.549 0.750 0.321
0.951 0.250 0.821
0.451 0.250 0.679
0.749 0.750 0.629
0.249 0.750 0.871
0.251 0.250 0.371
0.751 0.250 0.129
0.873 0.250 0.430
0.627 0.750 0.930
0.127 0.750 0.570
0.373 0.250 0.070
```

Calculated values
Crystal system: orthorhombic
Energy, eV per atom: -3.088